Arrangement i

Entry from Alexandria via LeMat-Bulk: a crystal of SrCo2W relaxed with PBEsol (SCAN).

Cell lengths 2.6829, 4.6300, 10.0370 Å; angles 90.00, 90.00, 90.00 degrees
Closest atoms and distances in Å follow each position.
Positions (direct):
Sr1 0.0000 0.0000 0.0000  4 Co 2.68, 2 Sr 2.68
Sr2 0.5000 0.5000 0.5000  4 Co 2.68, 2 Sr 2.68
Co1 0.0000 0.0000 0.4858  4 Co 2.46-2.68, 2 W 2.59, 4 Sr 2.68
Co2 0.0000 0.5000 0.7804  4 Co 2.46-2.68
Co3 0.5000 0.0000 0.2804  4 Co 2.46-2.68
Co4 0.5000 0.5000 0.9858  4 Co 2.46-2.68, 2 W 2.59, 4 Sr 2.68
W1 0.0000 0.5000 0.2068  6 Co 2.59-2.78, 2 W 2.68
W2 0.5000 0.0000 0.7068  6 Co 2.59-2.78, 2 W 2.68

DOS(E_F): 1.00 states/eV per atom
space group: Imm2, No. 44

***

Arrangement ii

Entry from Alexandria via LeMat-Bulk: a crystal of SrCo2W relaxed with PBEsol (SCAN).

Cell lengths 4.7113, 4.7113, 2.7509 Å; angles 90.00, 90.00, 90.00 degrees
Closest atoms and distances in Å follow each position.
Positions (direct):
Sr1 0.0000 0.0000 0.0000  8 Co 2.73, 2 Sr 2.75
Co1 0.0000 0.5000 0.5000  4 W 2.73, 4 Sr 2.73, 2 Co 2.75
Co2 0.5000 0.0000 0.5000  4 W 2.73, 4 Sr 2.73, 2 Co 2.75
W1 0.5000 0.5000 0.0000  8 Co 2.73, 2 W 2.75

DOS(E_F): 0.63 states/eV per atom
space group: P4/mmm, No. 123

***

Here are the energies relative to the best structure, in eV/atom: arrangement i 0.135; arrangement ii 0.000.

***

Arrangement i

Entry from Alexandria via LeMat-Bulk: a crystal of SrZrCo relaxed with PBEsol (SCAN).

Cell lengths 3.3108, 3.3108, 12.5446 Å; angles 90.00, 90.00, 90.00 degrees
Closest atoms and distances in Å follow each position.
Positions (direct):
Sr1 0.0000 0.0000 0.0000  4 Co 3.24, 1 Zr 3.28, 4 Sr 3.31
Sr2 0.5000 0.5000 0.5000  4 Co 3.24, 1 Zr 3.28, 4 Sr 3.31
Zr1 0.0000 0.0000 0.2616  4 Co 2.56
Zr2 0.5000 0.5000 0.7616  4 Co 2.56
Co1 0.0000 0.0000 0.6782  4 Zr 2.56
Co2 0.5000 0.5000 0.1782  4 Zr 2.56

DOS(E_F): 0.60 states/eV per atom
space group: I4mm, No. 107

***

Arrangement ii

Entry from Alexandria via LeMat-Bulk: a crystal of SrZrCo relaxed with PBEsol (SCAN).

Cell lengths 4.0509, 4.0509, 5.3583 Å; angles 90.00, 90.00, 120.00 degrees
Closest atoms and distances in Å follow each position.
Positions (direct):
Sr1 0.0000 0.0000 0.0000  6 Co 3.39-3.73, 6 Zr 3.55-3.56
Zr1 0.6667 0.3333 0.4995  3 Co 2.35
Co1 0.3333 0.6667 0.4575  3 Zr 2.35

DOS(E_F): 1.01 states/eV per atom
space group: P3m1, No. 156

***

Here are the energies relative to the best structure, in eV/atom: arrangement i 0.000; arrangement ii 0.295.

***

Arrangement i

Entry from Alexandria via LeMat-Bulk: a crystal of SrZr2Co relaxed with PBEsol (SCAN).

Cell lengths 5.5335, 9.9869, 3.0396 Å; angles 90.00, 90.00, 90.00 degrees
Closest atoms and distances in Å follow each position.
Positions (direct):
Sr1 0.0000 0.0000 0.0000  2 Co 2.77, 2 Sr 3.04
Sr2 0.5000 0.5000 0.0000  2 Co 2.77, 2 Sr 3.04
Zr1 0.2500 0.2500 0.5000  4 Zr 2.77-3.04
Zr2 0.2500 0.7500 0.5000  4 Zr 2.77-3.04
Zr3 0.7500 0.2500 0.5000  4 Zr 2.77-3.04
Zr4 0.7500 0.7500 0.5000  4 Zr 2.77-3.04
Co1 0.0000 0.5000 0.0000  2 Sr 2.77, 2 Co 3.04
Co2 0.5000 0.0000 0.0000  2 Sr 2.77, 2 Co 3.04

DOS(E_F): 1.06 states/eV per atom
space group: Cmmm, No. 65

***

Arrangement ii

Entry from Alexandria via LeMat-Bulk: a crystal of SrZr2Co relaxed with PBEsol (SCAN).

Cell lengths 3.2722, 3.2722, 8.3915 Å; angles 90.00, 90.00, 90.00 degrees
Closest atoms and distances in Å follow each position.
Positions (direct):
Sr1 0.0000 0.0000 0.0000  4 Co 3.18, 4 Sr 3.27, 1 Zr 3.36
Zr1 0.0000 0.0000 0.5996  4 Co 2.60
Zr2 0.5000 0.5000 0.3564  8 Zr 3.09-3.27, 1 Co 3.22
Co1 0.5000 0.5000 0.7398  4 Zr 2.60

DOS(E_F): 0.72 states/eV per atom
space group: P4mm, No. 99

***

Here are the energies relative to the best structure, in eV/atom: arrangement i 0.683; arrangement ii 0.000.

***

Arrangement i

Entry from Alexandria via LeMat-Bulk: a crystal of TaCoTc2 relaxed with PBEsol (SCAN).

Cell lengths 3.1408, 3.1408, 5.6599 Å; angles 90.00, 90.00, 90.00 degrees
Closest atoms and distances in Å follow each position.
Positions (direct):
Ta1 0.0000 0.0000 0.0000  4 Co 2.52, 5 Tc 2.70-2.77
Co1 0.5000 0.5000 0.7904  4 Ta 2.52, 5 Tc 2.69-2.81
Tc1 0.0000 0.0000 0.5236  4 Tc 2.57, 4 Co 2.69, 1 Ta 2.70
Tc2 0.5000 0.5000 0.2936  4 Tc 2.57, 4 Ta 2.77, 2 Co 2.81-2.85

DOS(E_F): 0.89 states/eV per atom
space group: P4mm, No. 99

***

Arrangement ii

Entry from Alexandria via LeMat-Bulk: a crystal of TaCoTc2 relaxed with PBEsol (SCAN).

Cell lengths 4.1994, 4.1994, 3.1786 Å; angles 90.00, 90.00, 90.00 degrees
Closest atoms and distances in Å follow each position.
Positions (direct):
Ta1 0.0000 0.0000 0.0000  8 Tc 2.63
Co1 0.5000 0.5000 0.0000  8 Tc 2.63
Tc1 0.0000 0.5000 0.5000  4 Co 2.63, 4 Ta 2.63
Tc2 0.5000 0.0000 0.5000  4 Co 2.63, 4 Ta 2.63

DOS(E_F): 0.82 states/eV per atom
space group: P4/mmm, No. 123

***

Here are the energies relative to the best structure, in eV/atom: arrangement i 0.058; arrangement ii 0.000.

***

Arrangement i

Entry from Alexandria via LeMat-Bulk: a crystal of TaCoTe3 relaxed with PBEsol (SCAN).

Cell lengths 4.8473, 4.8473, 4.8473 Å; angles 90.00, 90.00, 90.00 degrees
Closest atoms and distances in Å follow each position.
Positions (direct):
Ta1 0.0000 0.0000 0.0000  12 Te 3.43
Co1 0.5000 0.5000 0.5000  6 Te 2.42
Te1 0.0000 0.5000 0.5000  2 Co 2.42
Te2 0.5000 0.0000 0.5000  2 Co 2.42
Te3 0.5000 0.5000 0.0000  2 Co 2.42

DOS(E_F): 0.78 states/eV per atom
space group: Pm-3m, No. 221

***

Arrangement ii

Entry from Alexandria via LeMat-Bulk: a crystal of TaCoTe3 relaxed with PBEsol (SCAN).

Cell lengths 5.3179, 5.3179, 5.3179 Å; angles 90.00, 90.00, 90.00 degrees
Closest atoms and distances in Å follow each position.
Positions (direct):
Ta1 0.0000 0.0000 0.0000  6 Te 2.66
Co1 0.5000 0.5000 0.5000  12 Te 3.76
Te1 0.0000 0.0000 0.5000  2 Ta 2.66
Te2 0.0000 0.5000 0.0000  2 Ta 2.66
Te3 0.5000 0.0000 0.0000  2 Ta 2.66

DOS(E_F): 1.14 states/eV per atom
space group: Pm-3m, No. 221

***

Here are the energies relative to the best structure, in eV/atom: arrangement i 0.016; arrangement ii 0.000.

***

Arrangement i

Entry from Alexandria via LeMat-Bulk: a crystal of YTa2Co relaxed with PBEsol (SCAN).

Cell lengths 3.0491, 3.0491, 7.6686 Å; angles 90.00, 90.00, 90.00 degrees
Closest atoms and distances in Å follow each position.
Positions (direct):
Y1 0.0000 0.0000 0.0000  4 Y 3.05, 8 Ta 3.20
Ta1 0.5000 0.5000 0.3083  4 Co 2.61
Ta2 0.5000 0.5000 0.6917  4 Co 2.61
Co1 0.0000 0.0000 0.5000  8 Ta 2.61

DOS(E_F): 0.89 states/eV per atom
space group: P4/mmm, No. 123

***

Arrangement ii

Entry from Alexandria via LeMat-Bulk: a crystal of YTa2Co relaxed with PBEsol (SCAN).

Cell lengths 3.2280, 4.4839, 9.7741 Å; angles 90.00, 90.00, 90.00 degrees
Closest atoms and distances in Å follow each position.
Positions (direct):
Y1 0.0000 0.0000 0.0000  4 Co 2.76, 4 Ta 3.09
Y2 0.5000 0.5000 0.5000  4 Co 2.76, 4 Ta 3.09
Ta1 0.0000 0.5000 0.2300  2 Co 2.77, 4 Ta 2.79, 2 Y 3.09
Ta2 0.0000 0.5000 0.7700  2 Co 2.77, 4 Ta 2.79, 2 Y 3.09
Ta3 0.5000 0.0000 0.2700  2 Co 2.77, 4 Ta 2.79, 2 Y 3.09
Ta4 0.5000 0.0000 0.7300  2 Co 2.77, 4 Ta 2.79, 2 Y 3.09
Co1 0.0000 0.0000 0.5000  4 Y 2.76, 4 Ta 2.77
Co2 0.5000 0.5000 0.0000  4 Y 2.76, 4 Ta 2.77

DOS(E_F): 0.77 states/eV per atom
space group: Immm, No. 71

***

Here are the energies relative to the best structure, in eV/atom: arrangement i 0.064; arrangement ii 0.000.

***

Arrangement i

Entry from Alexandria via LeMat-Bulk: a crystal of CoTc5 relaxed with PBEsol (SCAN).

Cell lengths 3.7632, 11.3148, 3.7521 Å; angles 90.00, 90.00, 90.00 degrees
Closest atoms and distances in Å follow each position.
Positions (direct):
Co1 0.0000 0.0000 0.0000  12 Tc 2.62-2.66
Co2 0.5000 0.5000 0.0000  12 Tc 2.62-2.66
Tc1 0.0000 0.1619 0.5000  2 Co 2.62, 10 Tc 2.63-2.75
Tc2 0.0000 0.3392 0.0000  10 Tc 2.61-2.76, 2 Co 2.62
Tc3 0.0000 0.5000 0.5000  8 Tc 2.61-2.63, 4 Co 2.66
Tc4 0.0000 0.6608 0.0000  10 Tc 2.61-2.76, 2 Co 2.62
Tc5 0.0000 0.8381 0.5000  2 Co 2.62, 10 Tc 2.63-2.75
Tc6 0.5000 0.0000 0.5000  8 Tc 2.61-2.63, 4 Co 2.66
Tc7 0.5000 0.1608 0.0000  10 Tc 2.61-2.76, 2 Co 2.62
Tc8 0.5000 0.3381 0.5000  2 Co 2.62, 10 Tc 2.63-2.75
Tc9 0.5000 0.6619 0.5000  2 Co 2.62, 10 Tc 2.63-2.75
Tc10 0.5000 0.8392 0.0000  10 Tc 2.61-2.76, 2 Co 2.62

DOS(E_F): 1.05 states/eV per atom
space group: Cmmm, No. 65

***

Arrangement ii

Entry from Alexandria via LeMat-Bulk: a crystal of CoTc5 relaxed with PBEsol (SCAN).

Cell lengths 9.7282, 2.6848, 6.2987 Å; angles 90.00, 103.99, 90.00 degrees
Closest atoms and distances in Å follow each position.
Positions (direct):
Co1 0.0000 0.0000 0.0000  10 Tc 2.57-2.66, 2 Co 2.68
Co2 0.5000 0.5000 0.0000  10 Tc 2.57-2.66, 2 Co 2.68
Tc1 0.0551 0.0000 0.6163  11 Tc 2.59-2.71, 1 Co 2.60
Tc2 0.1647 0.5000 0.3269  10 Tc 2.56-2.75, 2 Co 2.65
Tc3 0.2202 0.5000 0.9480  9 Tc 2.57-2.68, 3 Co 2.61-2.66
Tc4 0.3388 0.0000 0.6701  10 Tc 2.59-2.75, 2 Co 2.65
Tc5 0.3949 0.0000 0.2702  10 Tc 2.56-2.71, 2 Co 2.57
Tc6 0.5551 0.5000 0.6163  11 Tc 2.59-2.71, 1 Co 2.60
Tc7 0.6647 0.0000 0.3269  10 Tc 2.56-2.75, 2 Co 2.65
Tc8 0.7202 0.0000 0.9480  9 Tc 2.57-2.68, 3 Co 2.61-2.66
Tc9 0.8388 0.5000 0.6701  10 Tc 2.59-2.75, 2 Co 2.65
Tc10 0.8949 0.5000 0.2702  10 Tc 2.56-2.71, 2 Co 2.57

DOS(E_F): 0.84 states/eV per atom
space group: Cm, No. 8

***

Here are the energies relative to the best structure, in eV/atom: arrangement i 0.040; arrangement ii 0.000.